Entry 1:
Here is a relaxed K2TlCuF6 crystal from the Alexandria database. Energies are from PBE.

The structure in extended XYZ format:
```
20
Lattice="-5.0324 0.1155 3.5017 -1.3729 -5.7371 -1.7838 4.5863 -3.1641 6.6469" Properties=species:S:1:pos:R:3 pbc="T T T"
F 2.5661 -5.2143 4.4364
F -1.5939 -0.8607 3.7076
F 0.7074 -2.6179 3.5896
F -1.1834 -1.4108 0.4904
F 0.3506 -4.7012 8.4901
F -2.5263 -6.1679 4.7751
F -0.3654 -5.6539 2.8612
F -4.3850 -3.5715 3.9283
F -0.6355 -7.3750 7.8743
F -1.4536 -3.1319 5.5035
F -2.1695 -4.0846 -0.1254
F -0.2251 -7.9251 4.6571
Cu -0.2230 -1.5243 5.0743
Cu -0.6864 -2.8686 -0.8919
Tl -2.5162 0.0577 1.7508
Tl 1.6067 -4.4506 2.4315
K 0.1708 -5.3385 5.8070
K -0.2171 -6.3674 -0.0611
K -1.6018 -2.4184 8.4259
K -1.9898 -3.4473 2.5577
```

Output
* E: -82.5 eV per cell
* D(E_F): 7.3 states/eV per cell
* E_form (uncorrected): -2.138 eV per atom
* space-group type: P2_1/c (14)

Entry 2:
Here is a relaxed K3TmCu2F9 crystal from the Alexandria database. Energies are from PBE.

The structure in extended XYZ format:
```
15
Lattice="-1.6769 -5.7450 -0.0569 5.3081 1.5906 -2.2616 3.1710 -0.9924 6.7448" Properties=species:S:1:pos:R:3 pbc="T T T"
F 4.3605 -2.8440 0.3150
F 2.4417 -2.3029 4.1113
F 1.5982 -5.1925 4.0827
F 1.8156 -2.0772 -1.1592
F 5.2040 0.0457 0.3436
F 2.6540 0.7953 -1.1308
F 4.2682 -4.3925 2.9452
F -0.8384 -2.8725 -0.0285
F 2.5341 -0.7543 1.4812
Tm 1.5855 -0.4962 3.3724
Cu 3.4738 -1.0092 -0.4759
Cu 3.3285 -4.1376 4.9023
K 1.5655 -3.5859 1.1525
K 5.2367 -1.5610 3.2739
K 0.0000 0.0000 0.0000
```

Output
* E: -73.2 eV per cell
* D(E_F): 3.4 states/eV per cell
* E_form (uncorrected): -2.692 eV per atom
* space-group type: P-3m1 (164)

Entry 3:
Here is a relaxed K2TmCu3F12 crystal from the Alexandria database. Energies are from PBE.

The structure in extended XYZ format:
```
18
Lattice="7.3807 0.0093 0.0066 3.6531 6.4132 0.0066 3.6531 2.1264 6.0505" Properties=species:S:1:pos:R:3 pbc="T T T"
F 6.7227 3.9132 5.5339
F 3.3780 1.9662 3.9181
F 6.7227 6.5164 1.8637
F 5.4489 0.7901 0.5604
F 7.9641 4.6358 0.5298
F 8.9863 2.6276 1.8637
F 9.2379 7.7589 5.5033
F 5.7005 5.9214 4.2000
F 7.9641 2.0325 4.2000
F 11.3089 4.2011 5.5033
F 3.3780 4.3479 0.5604
F 11.3089 6.5827 2.1455
K 9.0216 5.2513 3.7247
K 5.6652 3.2976 2.3390
Cu 1.8265 3.2066 0.0033
Cu 3.6903 0.0047 0.0033
Cu 1.8265 1.0632 3.0252
Tm 0.0000 0.0000 0.0000
```

Output
* E: -84.2 eV per cell
* D(E_F): 5.5 states/eV per cell
* E_form (uncorrected): -2.380 eV per atom
* space-group type: R-3m (166)

Entry 4:
Here is a relaxed KTmCuF6 crystal from the Alexandria database. Energies are from PBE.

The structure in extended XYZ format:
```
9
Lattice="5.8651 -0.0005 0.1213 2.9326 4.7464 0.0606 0.1140 0.0008 5.6722" Properties=species:S:1:pos:R:3 pbc="T T T"
F 3.7309 0.1235 1.8333
F 4.9456 1.7996 4.2779
F 6.8987 1.8008 1.6359
F 2.2474 0.1234 3.9600
F 1.9717 2.9257 3.8771
F 4.0074 2.9255 1.9163
K 2.9324 4.6342 0.0610
Tm 5.9220 3.0812 2.9574
Cu 2.9892 1.5733 2.8967
```

Output
* E: -47.6 eV per cell
* E_form (uncorrected): -2.971 eV per atom
* space-group type: C2 (5)

Entry 5:
Here is a relaxed KUCu2F8 crystal from the Alexandria database. Energies are from PBE.

The structure in extended XYZ format:
```
12
Lattice="-3.3294 0.9030 3.8525 -2.3724 -3.9506 2.3465 4.2848 -1.4894 7.5229" Properties=species:S:1:pos:R:3 pbc="T T T"
F 1.4364 -1.2713 5.0101
F -2.5632 -3.8119 4.4643
F 2.6035 -2.7951 7.4259
F 1.1463 -0.7250 9.2575
F -2.8534 -3.2657 8.7117
F -4.0205 -1.7419 6.2959
F -2.0170 -0.7559 4.1103
F 0.6000 -3.7811 9.6115
Cu 0.0476 -1.1650 3.7850
Cu -1.4646 -3.3720 9.9369
K -0.7085 -2.2685 6.8609
U 0.0000 0.0000 0.0000
```

Output
* E: -65.6 eV per cell
* D(E_F): 4.9 states/eV per cell
* E_form (uncorrected): -2.505 eV per atom
* space-group type: R-3 (148)